Below is a geometry-optimized NaPmHoPb structure, with properties calculated at the PBE level.

Computed properties:
N(E_F), states/eV/cell: 3.78
Formation enthalpy at 0 K, eV/atom: -0.156

Cell lengths 5.451, 5.451, 5.451 Å; angles 60.00, 60.00, 60.00 degrees
Fractional positions:
Na1 0.000 0.000 0.000
Pm1 0.250 0.250 0.250
Ho1 0.750 0.750 0.750
Pb1 0.500 0.500 0.500